1.
This record from the Alexandria database describes an optimized crystal structure of Rb3Pu3PtSe8. The functional is PBE.

Output
Formation energy without anion corrections ... -1165 meV/atom

abc: 8.3224 8.3224 24.3826
angles: 90.00 90.00 120.00
With the nearest neighbours (Å) after each atom.
Space group R-3m (No. 166, hexagonal axes)
Inequivalent atoms, fractional coordinates:
1 Rb 0.0000 0.5000 0.0000  6 Se 3.45-3.48
2 Pu 0.0000 0.5000 0.5000  6 Se 2.88-2.91
3 Pt 0.0000 0.0000 0.5000  6 Se 2.63
4 Se 0.0000 0.0000 0.2320  3 Pu 2.88
5 Se 0.0302 0.5151 0.2265  1 Pt 2.63, 2 Pu 2.91



2.
This record from the Alexandria database describes an optimized crystal structure of Pu2RePt. The functional is PBE.

Output
Relative energy among the computed polymorphs ... 0.000 eV per formula unit
Formation energy from the elements ... -208 meV/atom

abc: 3.3498 3.3498 7.2324
angles: 90.00 90.00 90.00
With the nearest neighbours (Å) after each atom.
Space group P4/mmm (No. 123)
Inequivalent atoms, fractional coordinates:
1 Pu 0.0000 0.0000 0.2427  4 Re 2.95, 4 Pt 3.01
2 Re 0.5000 0.5000 0.0000  8 Pu 2.95
3 Pt 0.5000 0.5000 0.5000  8 Pu 3.01, 4 Pt 3.35



3.
This record from the Alexandria database describes an optimized crystal structure of Pu2RePt. The functional is PBE.

Output
Relative energy among the computed polymorphs ... 1.974 eV per formula unit
Formation energy from the elements ... 286 meV/atom

abc: 2.8720 2.8720 32.0629
angles: 90.00 90.00 120.00
With the nearest neighbours (Å) after each atom.
Space group R-3m (No. 166, hexagonal axes)
Inequivalent atoms, fractional coordinates:
1 Pu 0.0000 0.0000 0.0856  1 Re 2.75, 6 Pu 2.87
2 Re 0.0000 0.0000 0.0000  2 Pu 2.75, 6 Re 2.87
3 Pt 0.0000 0.0000 0.5000  6 Pt 2.87, 6 Pu 3.08



4.
This record from the Alexandria database describes an optimized crystal structure of Pu2PtRh3. The functional is PBE.

Output
Formation energy from the elements ... -606 meV/atom

abc: 5.3667 5.3667 13.1093
angles: 90.00 90.00 120.00
With the nearest neighbours (Å) after each atom.
Space group R-3m (No. 166, hexagonal axes)
Inequivalent atoms, fractional coordinates:
1 Pu 0.0000 0.0000 0.1240  9 Rh 3.14-3.15, 3 Pt 3.15, 4 Pu 3.25-3.29
2 Pt 0.0000 0.0000 0.5000  6 Rh 2.68
3 Rh 0.0000 0.5000 0.0000  2 Pt 2.68, 4 Rh 2.68



5.
This record from the Alexandria database describes an optimized crystal structure of Pu4PtRh3. The functional is PBE.

Output
Relative energy among the computed polymorphs ... 0.586 eV per formula unit
Formation energy from the elements ... -427 meV/atom

abc: 5.6527 5.6527 5.6527
angles: 90.00 90.00 90.00
With the nearest neighbours (Å) after each atom.
Space group Pm-3m (No. 221)
Inequivalent atoms, fractional coordinates:
1 Pu 0.0000 0.0000 0.0000  6 Rh 2.83
2 Pu 0.0000 0.5000 0.5000  2 Pt 2.83, 4 Rh 2.83
3 Pt 0.5000 0.5000 0.5000  6 Pu 2.83
4 Rh 0.0000 0.0000 0.5000  6 Pu 2.83



6.
This record from the Alexandria database describes an optimized crystal structure of Pu2Pt3Rh3. The functional is PBE.

Output
Formation energy from the elements ... -577 meV/atom

abc: 3.9924 4.0951 8.3981
angles: 90.00 90.00 90.00
With the nearest neighbours (Å) after each atom.
Space group Pmmm (No. 47)
Inequivalent atoms, fractional coordinates:
1 Pu 0.0000 0.0000 0.2452  6 Rh 2.86-2.87, 6 Pt 2.90-2.96
2 Pt 0.0000 0.5000 0.0000  8 Rh 2.86-2.89, 4 Pu 2.90
3 Pt 0.0000 0.5000 0.5000  4 Pt 2.86, 4 Rh 2.90, 4 Pu 2.96
4 Pt 0.5000 0.0000 0.5000  4 Pt 2.86, 4 Pu 2.93, 4 Rh 2.94
5 Rh 0.5000 0.0000 0.0000  4 Pt 2.86, 4 Pu 2.87, 4 Rh 2.93
6 Rh 0.5000 0.5000 0.2492  4 Pu 2.86, 6 Pt 2.89-2.94, 2 Rh 2.93



7.
This record from the Alexandria database describes an optimized crystal structure of PuPtRh. The functional is PBE.

Output
Relative energy among the computed polymorphs ... 0.519 eV per formula unit
Formation energy from the elements ... -521 meV/atom

abc: 5.1858 4.5867 5.2176
angles: 90.00 116.38 90.00
With the nearest neighbours (Å) after each atom.
Space group P2_1/m (No. 11)
Inequivalent atoms, fractional coordinates:
1 Pu 0.0280 0.2500 0.2162  4 Rh 2.83-2.92, 4 Pt 2.95-3.06, 2 Pu 3.14
2 Pt 0.3772 0.2500 0.8420  4 Rh 2.76-2.89, 2 Pt 2.78, 4 Pu 2.95-3.06
3 Rh 0.3630 0.7500 0.5409  4 Pt 2.76-2.89, 2 Rh 2.83, 4 Pu 2.83-2.92



8.
This record from the Alexandria database describes an optimized crystal structure of Pu5Pt2Rh2. The functional is PBE.

Output
Relative energy among the computed polymorphs ... 1.135 eV per formula unit
Formation energy from the elements ... -431 meV/atom

abc: 16.7061 6.6783 7.3990
angles: 90.00 90.00 90.00
With the nearest neighbours (Å) after each atom.
Space group Ima2 (No. 46)
Inequivalent atoms, fractional coordinates:
1 Pu 0.0760 0.1663 0.0000  3 Pt 2.88-3.15, 2 Rh 2.90-3.09
2 Pu 0.1580 0.6705 0.1213  2 Rh 2.62-2.70, 1 Pt 2.91
3 Pu 0.2500 0.0969 0.3037  2 Pt 2.83-2.86
4 Pt 0.0000 0.0000 0.6842  6 Pu 2.88-2.91, 4 Rh 3.01-3.20
5 Pt 0.2500 0.0018 0.9275  8 Pu 2.83-3.15
6 Rh 0.0734 0.5835 0.8205  3 Pu 2.62-2.90, 1 Rh 2.69



9.
This record from the Alexandria database describes an optimized crystal structure of Pu6PtRh2. The functional is PBE.

Output
Relative energy among the computed polymorphs ... 2.852 eV per formula unit
Formation energy from the elements ... 31 meV/atom

abc: 7.9511 7.9511 2.7261
angles: 90.00 90.00 120.00
With the nearest neighbours (Å) after each atom.
Space group P-31m (No. 162)
Inequivalent atoms, fractional coordinates:
1 Pu 0.0000 0.3485 0.0642  1 Pu 2.43
2 Pt 0.0000 0.0000 0.5000  2 Pt 2.73, 6 Pu 3.02
3 Rh 0.3333 0.6667 0.5000  2 Rh 2.73, 12 Pu 2.85-3.01



10.
This record from the Alexandria database describes an optimized crystal structure of Pu5Pt2Rh. The functional is PBE.

Output
Formation energy from the elements ... -504 meV/atom

abc: 7.5609 11.6373 4.3239
angles: 90.00 90.00 90.00
With the nearest neighbours (Å) after each atom.
Space group Pbam (No. 55)
Inequivalent atoms, fractional coordinates:
1 Pu 0.0000 0.0000 0.0000  4 Pt 3.03, 4 Pu 3.21
2 Pu 0.1466 0.2848 0.0000  1 Rh 2.74, 2 Pt 3.01
3 Pu 0.2066 0.5722 0.5000  2 Rh 2.80, 2 Pt 3.09-3.10
4 Pt 0.0848 0.8266 0.5000  9 Pu 3.01-3.26
5 Rh 0.0000 0.5000 0.0000  6 Pu 2.74-2.80



11.
This record from the Alexandria database describes an optimized crystal structure of Pu3Pt2Rh. The functional is PBE.

Output
Relative energy among the computed polymorphs ... 0.000 eV per formula unit
Formation energy from the elements ... -634 meV/atom

abc: 3.4754 3.4754 10.5035
angles: 90.00 90.00 90.00
With the nearest neighbours (Å) after each atom.
Space group P4/mmm (No. 123)
Inequivalent atoms, fractional coordinates:
1 Pu 0.0000 0.0000 0.0000  8 Pt 3.04
2 Pu 0.0000 0.0000 0.3383  4 Rh 2.99, 4 Pt 3.02
3 Pt 0.5000 0.5000 0.1704  8 Pu 3.02-3.04
4 Rh 0.5000 0.5000 0.5000  8 Pu 2.99



12.
This record from the Alexandria database describes an optimized crystal structure of Pu6PtRh2. The functional is PBE.

Output
Relative energy among the computed polymorphs ... 0.000 eV per formula unit
Formation energy from the elements ... -286 meV/atom

abc: 8.7631 5.0334 8.6224
angles: 90.00 90.13 90.00
With the nearest neighbours (Å) after each atom.
Space group C2/m (No. 12)
Inequivalent atoms, fractional coordinates:
1 Pu 0.0003 0.0000 0.1814  1 Pt 2.75, 3 Rh 2.96-2.97, 3 Pu 2.99-3.00
2 Pu 0.1670 0.5000 0.1021  4 Pu 2.68-3.00, 1 Rh 2.98
3 Pu 0.1669 0.5000 0.4130  1 Pu 2.68, 1 Rh 2.96
4 Pt 0.0000 0.0000 0.5000  8 Pu 2.75-3.01
5 Rh 0.1661 0.5000 0.7563  11 Pu 2.96-3.26



13.
This record from the Alexandria database describes an optimized crystal structure of PuPtRh. The functional is PBE.

Output
Relative energy among the computed polymorphs ... 0.846 eV per formula unit
Formation energy from the elements ... -412 meV/atom

abc: 3.5644 3.5644 8.8508
angles: 90.00 90.00 90.00
With the nearest neighbours (Å) after each atom.
Space group I4mm (No. 107)
Inequivalent atoms, fractional coordinates:
1 Pu 0.0000 0.0000 0.0000  5 Rh 2.90-2.99, 5 Pt 2.92-2.93
2 Pt 0.0000 0.0000 0.3303  5 Pu 2.92-2.93, 5 Rh 2.93-2.94
3 Rh 0.0000 0.0000 0.6622  5 Pu 2.90-2.99, 5 Pt 2.93-2.94



14.
This record from the Alexandria database describes an optimized crystal structure of Pu4Pt3Rh. The functional is PBE.

Output
Relative energy among the computed polymorphs ... 0.465 eV per formula unit
Formation energy from the elements ... -622 meV/atom

abc: 5.7326 5.7326 5.7326
angles: 90.00 90.00 90.00
With the nearest neighbours (Å) after each atom.
Space group Pm-3m (No. 221)
Inequivalent atoms, fractional coordinates:
1 Pu 0.0000 0.0000 0.0000  6 Pt 2.87
2 Pu 0.0000 0.5000 0.5000  2 Rh 2.87, 4 Pt 2.87
3 Pt 0.0000 0.0000 0.5000  6 Pu 2.87
4 Rh 0.5000 0.5000 0.5000  6 Pu 2.87



15.
This record from the Alexandria database describes an optimized crystal structure of Pu4Pt3Rh. The functional is PBE.

Output
Relative energy among the computed polymorphs ... 0.000 eV per formula unit
Formation energy from the elements ... -680 meV/atom

abc: 3.8812 4.2434 10.8866
angles: 90.00 90.00 90.00
With the nearest neighbours (Å) after each atom.
Space group Pmm2 (No. 25)
Inequivalent atoms, fractional coordinates:
1 Pu 0.0000 0.0000 0.0000  5 Pt 2.92-2.97, 2 Rh 3.17
2 Pu 0.0000 0.5000 0.2694  4 Rh 2.91, 3 Pt 2.97-3.12
3 Pu 0.5000 0.0000 0.4932  1 Rh 2.86, 6 Pt 2.92-3.20
4 Pu 0.5000 0.5000 0.7717  7 Pt 2.92-3.16
5 Pt 0.0000 0.0000 0.7274  7 Pu 2.92-3.20, 2 Pt 2.92
6 Pt 0.0000 0.5000 0.5425  2 Pt 2.92, 7 Pu 2.92-3.16
7 Pt 0.5000 0.5000 0.0447  7 Pu 2.92-3.12, 2 Rh 2.93
8 Rh 0.5000 0.0000 0.2302  7 Pu 2.86-3.17, 2 Pt 2.93



16.
This record from the Alexandria database describes an optimized crystal structure of Pu3Pt2Rh. The functional is PBE.

Output
Relative energy among the computed polymorphs ... 2.265 eV per formula unit
Formation energy from the elements ... -257 meV/atom

abc: 3.9060 15.0762 7.9464
angles: 90.00 90.00 90.00
With the nearest neighbours (Å) after each atom.
Space group Cmmm (No. 65)
Inequivalent atoms, fractional coordinates:
1 Pu 0.0000 0.0000 0.2494  6 Pt 2.78-2.93, 2 Rh 2.92
2 Pu 0.0000 0.2954 0.2410  2 Pu 2.39
3 Pt 0.0000 0.1430 0.5000  2 Pt 2.91, 8 Pu 2.93-3.09
4 Pt 0.0000 0.5000 0.0000  4 Pu 2.78, 4 Rh 2.90
5 Pt 0.0000 0.5000 0.5000  4 Pu 2.79, 4 Pt 2.91
6 Rh 0.0000 0.1419 0.0000  8 Pu 2.89-3.00, 2 Pt 2.90



17.
This record from the Alexandria database describes an optimized crystal structure of Pu7PtRh5. The functional is PBE.

Output
Formation energy from the elements ... -359 meV/atom

abc: 5.6314 10.1148 9.6352
angles: 90.00 90.00 90.00
With the nearest neighbours (Å) after each atom.
Space group Imm2 (No. 44)
Inequivalent atoms, fractional coordinates:
1 Pu 0.0000 0.0000 0.0000  1 Pt 2.86, 4 Rh 2.99, 2 Pu 3.16
2 Pu 0.0000 0.0000 0.4063  6 Rh 2.82-2.92, 1 Pt 2.86
3 Pu 0.0000 0.3094 0.6675  5 Rh 2.84-2.91, 1 Pt 3.15
4 Pu 0.0000 0.3442 0.1458  1 Pu 2.54, 2 Rh 2.80
5 Pu 0.0000 0.5000 0.3520  2 Pu 2.54
6 Pt 0.0000 0.0000 0.7034  6 Pu 2.86-3.16
7 Rh 0.0000 0.5000 0.8936  6 Pu 2.82-2.91, 4 Rh 2.92
8 Rh 0.2494 0.2477 0.9156  7 Pu 2.80-3.10, 3 Rh 2.81-2.92



18.
This record from the Alexandria database describes an optimized crystal structure of PuPtRh. The functional is PBE.

Output
Relative energy among the computed polymorphs ... 0.000 eV per formula unit
Formation energy from the elements ... -694 meV/atom

abc: 5.3709 5.4109 7.6335
angles: 90.00 90.00 90.00
With the nearest neighbours (Å) after each atom.
Space group Imma (No. 74)
Inequivalent atoms, fractional coordinates:
1 Pu 0.0000 0.2500 0.1268  6 Rh 3.15-3.16, 6 Pt 3.16-3.17, 4 Pu 3.28-3.33
2 Pt 0.2500 0.2500 0.7500  2 Pt 2.69, 4 Rh 2.70
3 Rh 0.0000 0.0000 0.5000  4 Pt 2.70, 2 Rh 2.71



19.
This record from the Alexandria database describes an optimized crystal structure of Pu12PtRh6. The functional is PBE.

Output
Relative energy among the computed polymorphs ... 0.000 eV per formula unit
Formation energy from the elements ... -274 meV/atom

abc: 10.7893 10.7893 11.5024
angles: 90.00 90.00 120.00
With the nearest neighbours (Å) after each atom.
Space group R-3 (No. 148, hexagonal axes)
Inequivalent atoms, fractional coordinates:
1 Pu 0.0556 0.2365 0.4134  2 Pu 2.61-2.92, 2 Rh 2.79-2.92
2 Pu 0.0570 0.8706 0.7890  1 Pu 2.61
3 Pt 0.0000 0.0000 0.0000  6 Rh 2.79, 6 Pu 3.01
4 Rh 0.0530 0.6012 0.7107  7 Pu 2.79-3.09, 1 Pt 2.79, 2 Rh 2.92



20.
This record from the Alexandria database describes an optimized crystal structure of Pu12Pt2Rh7. The functional is PBE.

Output
Formation energy from the elements ... -220 meV/atom

abc: 10.1808 10.1808 4.6837
angles: 90.00 90.00 120.00
With the nearest neighbours (Å) after each atom.
Space group P-6 (No. 174)
Inequivalent atoms, fractional coordinates:
1 Pu 0.0152 0.4439 0.0000  3 Rh 2.57-2.85
2 Pu 0.0931 0.7880 0.0000  4 Rh 2.76-3.06, 3 Pu 2.82-2.97
3 Pu 0.2487 0.0761 0.5000  1 Pu 2.52
4 Pu 0.3876 0.3619 0.5000  1 Pu 2.52
5 Pt 0.3333 0.6667 0.0000  6 Rh 2.87, 3 Pu 2.88
6 Pt 0.6667 0.3333 0.5000  6 Rh 2.86, 3 Pu 3.00
7 Rh 0.0000 0.0000 0.0000  3 Pu 2.76
8 Rh 0.1920 0.4874 0.5000  7 Pu 2.85-3.06, 2 Pt 2.87, 2 Rh 2.89
9 Rh 0.4815 0.2591 0.0000  1 Pu 2.57, 2 Rh 2.85, 2 Pt 2.86



21.
This record from the Alexandria database describes an optimized crystal structure of Pu12Pt2Rh5. The functional is PBE.

Output
Formation energy from the elements ... -130 meV/atom

abc: 15.7292 8.1850 6.9569
angles: 90.00 114.73 90.00
With the nearest neighbours (Å) after each atom.
Space group C2/m (No. 12)
Inequivalent atoms, fractional coordinates:
1 Pu 0.0211 0.0000 0.2700  2 Rh 2.93-3.13, 2 Pt 3.09, 2 Pu 3.11
2 Pu 0.1334 0.5000 0.3532  2 Pu 2.35
3 Pu 0.1349 0.3030 0.8073  4 Rh 2.81-3.06, 1 Pt 2.95
4 Pu 0.1866 0.2343 0.3347  2 Pu 2.34-2.35, 1 Rh 2.62
5 Pt 0.0000 0.3099 0.0000  8 Pu 2.92-3.09, 1 Pt 3.11
6 Rh 0.0000 0.5000 0.5000  6 Pu 2.69-2.81
7 Rh 0.1828 0.0000 0.6827  1 Rh 2.73, 6 Pu 2.83-3.03
8 Rh 0.1854 0.0000 0.0769  2 Pu 2.62, 1 Rh 2.73



22.
This record from the Alexandria database describes an optimized crystal structure of Pu2Pt2Rh. The functional is PBE.

Output
Relative energy among the computed polymorphs ... 0.382 eV per formula unit
Formation energy from the elements ... -583 meV/atom

abc: 9.3735 4.2367 6.5625
angles: 90.00 132.61 90.00
With the nearest neighbours (Å) after each atom.
Space group C2/m (No. 12)
Inequivalent atoms, fractional coordinates:
1 Pu 0.0879 0.0000 0.3054  3 Rh 2.87-3.14, 6 Pt 2.93-3.07, 3 Pu 3.12-3.14
2 Pt 0.1927 0.5000 0.0865  6 Pu 2.93-3.07, 3 Pt 2.93-2.96, 3 Rh 2.94-3.09
3 Rh 0.0000 0.5000 0.5000  6 Pu 2.87-3.14, 6 Pt 2.94-3.09



| no. | magnetization (μB per formula unit) | calculated volume (Å³ per atom) |
| --- | --- | --- |
| 1 | 14.93 | 32.50 |
| 2 | 9.09 | 20.29 |
| 3 | 9.29 | 19.09 |
| 4 | 10.07 | 18.17 |
| 5 | 20.29 | 22.58 |
| 6 | 6.39 | 17.16 |
| 7 | 4.65 | 18.53 |
| 8 | 5.20 | 22.93 |
| 9 | 0.00 | 16.58 |
| 10 | 28.37 | 23.78 |
| 11 | 15.87 | 21.14 |
| 12 | 10.98 | 21.13 |
| 13 | 4.58 | 18.74 |
| 14 | 10.25 | 23.55 |
| 15 | 0.22 | 22.41 |
| 16 | 4.87 | 19.50 |
| 17 | 4.82 | 21.11 |
| 18 | 5.17 | 18.49 |
| 19 | 0.31 | 20.34 |
| 20 | 30.74 | 20.02 |
| 21 | 24.75 | 21.41 |
| 22 | 9.73 | 19.18 |